Crystalline BaAgSO at its relaxed geometry. Source: OQMD via LeMat-Bulk, functional PBE.

The structure in CIF format:
```
data_BaAgSO
_space_group_name_H-M_alt 'P 1'
_space_group_IT_number 1
_cell_length_a 8.0715
_cell_length_b 3.7038
_cell_length_c 12.2592
_cell_angle_alpha 90.00
_cell_angle_beta 90.00
_cell_angle_gamma 90.00
loop_
_space_group_symop_operation_xyz
'x,y,z'
loop_
_atom_site_label
_atom_site_type_symbol
_atom_site_fract_x
_atom_site_fract_y
_atom_site_fract_z
_atom_site_occupancy
Ba1 Ba 0.0007 0.2500 0.2234 1
Ba2 Ba 0.4993 0.7500 0.7234 1
Ba3 Ba 0.5007 0.2500 0.2766 1
Ba4 Ba 0.9993 0.7500 0.7766 1
Ag1 Ag 0.2079 0.7500 0.4784 1
Ag2 Ag 0.2921 0.2500 0.9784 1
Ag3 Ag 0.7079 0.7500 0.0216 1
Ag4 Ag 0.7921 0.2500 0.5216 1
S1 S 0.2219 0.2500 0.6148 1
S2 S 0.2781 0.7500 0.1148 1
S3 S 0.7219 0.2500 0.8852 1
S4 S 0.7781 0.7500 0.3852 1
O1 O 0.2195 0.2500 0.3738 1
O2 O 0.2805 0.7500 0.8738 1
O3 O 0.7195 0.2500 0.1262 1
O4 O 0.7805 0.7500 0.6262 1
```

E above lowest polymorph   155 meV/atom

***

Crystalline BaAgSO at its relaxed geometry. Source: OQMD via LeMat-Bulk, functional PBE.

The structure in CIF format:
```
data_BaAgSO
_space_group_name_H-M_alt 'P 1'
_space_group_IT_number 1
_cell_length_a 4.1003
_cell_length_b 13.2479
_cell_length_c 6.1878
_cell_angle_alpha 90.00
_cell_angle_beta 90.00
_cell_angle_gamma 90.00
loop_
_space_group_symop_operation_xyz
'x,y,z'
loop_
_atom_site_label
_atom_site_type_symbol
_atom_site_fract_x
_atom_site_fract_y
_atom_site_fract_z
_atom_site_occupancy
Ba1 Ba 0.0000 0.0957 0.2500 1
Ba2 Ba 0.0000 0.9043 0.7500 1
Ba3 Ba 0.5000 0.4043 0.7500 1
Ba4 Ba 0.5000 0.5957 0.2500 1
Ag1 Ag 0.0000 0.3786 0.2500 1
Ag2 Ag 0.0000 0.6214 0.7500 1
Ag3 Ag 0.5000 0.1214 0.7500 1
Ag4 Ag 0.5000 0.8786 0.2500 1
S1 S 0.0000 0.2130 0.7500 1
S2 S 0.0000 0.7870 0.2500 1
S3 S 0.5000 0.2870 0.2500 1
S4 S 0.5000 0.7130 0.7500 1
O1 O 0.0000 0.5000 0.0000 1
O2 O 0.0000 0.5000 0.5000 1
O3 O 0.5000 0.0000 0.0000 1
O4 O 0.5000 0.0000 0.5000 1
```

E above lowest polymorph   42 meV/atom